# ZrVAs2Se | the Alexandria database | PBE | optimized geometry
# - space group = No. 123
# - ΔE to the lowest computed polymorph (eV/f.u.) = 2.69
# - ΔE_f (raw) (eV/atom) = 0.645
# - electronic total energy (eV per atom) = -5.45
data_ZrVAs2Se
_cell_length_a 5.1685
_cell_length_b 5.1685
_cell_length_c 5.0976
_cell_angle_alpha 90.00
_cell_angle_beta 90.00
_cell_angle_gamma 90.00
_space_group_name_H-M_alt 'P 1'
_space_group_IT_number 1
loop_
_space_group_symop_operation_xyz
'x,y,z'
loop_
_atom_site_label
_atom_site_type_symbol
_atom_site_fract_x
_atom_site_fract_y
_atom_site_fract_z
_atom_site_occupancy
Zr1 Zr 0.0000 0.0000 0.0000 1
V1 V 0.5000 0.5000 0.5000 1
As1 As 0.0000 0.5000 0.0000 1
As2 As 0.5000 0.0000 0.0000 1
Se1 Se 0.0000 0.0000 0.5000 1

# AsW2Se | the Alexandria database | PBE | optimized geometry
# - space group = No. 225
# - ΔE to the lowest computed polymorph (eV/f.u.) = 1.28
# - ΔE_f (raw) (eV/atom) = 0.392
# - electronic total energy (eV per atom) = -8.12
data_AsW2Se
_cell_length_a 4.4449
_cell_length_b 4.4449
_cell_length_c 4.4449
_cell_angle_alpha 60.00
_cell_angle_beta 60.00
_cell_angle_gamma 60.00
_space_group_name_H-M_alt 'P 1'
_space_group_IT_number 1
loop_
_space_group_symop_operation_xyz
'x,y,z'
loop_
_atom_site_label
_atom_site_type_symbol
_atom_site_fract_x
_atom_site_fract_y
_atom_site_fract_z
_atom_site_occupancy
As1 As 0.0000 0.0000 0.0000 1
W1 W 0.2500 0.2500 0.2500 1
W2 W 0.7500 0.7500 0.7500 1
Se1 Se 0.5000 0.5000 0.5000 1

# AsW2Se | the Alexandria database | PBE | optimized geometry
# - space group = No. 12
# - ΔE to the lowest computed polymorph (eV/f.u.) = 1.43
# - ΔE_f (raw) (eV/atom) = 0.430
# - electronic total energy (eV per atom) = -8.08
data_AsW2Se
_cell_length_a 4.3800
_cell_length_b 4.3800
_cell_length_c 5.3117
_cell_angle_alpha 101.97
_cell_angle_beta 101.97
_cell_angle_gamma 40.80
_space_group_name_H-M_alt 'P 1'
_space_group_IT_number 1
loop_
_space_group_symop_operation_xyz
'x,y,z'
loop_
_atom_site_label
_atom_site_type_symbol
_atom_site_fract_x
_atom_site_fract_y
_atom_site_fract_z
_atom_site_occupancy
As1 As 0.0000 0.0000 0.0000 1
W1 W 0.2507 0.2507 0.7577 1
W2 W 0.7493 0.7493 0.2423 1
Se1 Se 0.5000 0.5000 0.5000 1

# AsW2Se | the Alexandria database | PBE | optimized geometry
# - space group = No. 65
# - ΔE to the lowest computed polymorph (eV/f.u.) = 2.75
# - ΔE_f (raw) (eV/atom) = 0.760
# - electronic total energy (eV per atom) = -7.75
data_AsW2Se
_cell_length_a 3.0285
_cell_length_b 3.0285
_cell_length_c 8.3179
_cell_angle_alpha 90.00
_cell_angle_beta 90.00
_cell_angle_gamma 117.79
_space_group_name_H-M_alt 'P 1'
_space_group_IT_number 1
loop_
_space_group_symop_operation_xyz
'x,y,z'
loop_
_atom_site_label
_atom_site_type_symbol
_atom_site_fract_x
_atom_site_fract_y
_atom_site_fract_z
_atom_site_occupancy
As1 As 0.0000 0.0000 0.0000 1
W1 W 0.5000 0.5000 0.2431 1
W2 W 0.5000 0.5000 0.7569 1
Se1 Se 0.0000 0.0000 0.5000 1

# AsW2Se | the Alexandria database | PBE | optimized geometry
# - space group = No. 10
# - ΔE to the lowest computed polymorph (eV/f.u.) = 2.25
# - ΔE_f (raw) (eV/atom) = 0.636
# - electronic total energy (eV per atom) = -7.87
data_AsW2Se
_cell_length_a 3.7998
_cell_length_b 4.0413
_cell_length_c 5.4351
_cell_angle_alpha 90.00
_cell_angle_beta 94.88
_cell_angle_gamma 90.00
_space_group_name_H-M_alt 'P 1'
_space_group_IT_number 1
loop_
_space_group_symop_operation_xyz
'x,y,z'
loop_
_atom_site_label
_atom_site_type_symbol
_atom_site_fract_x
_atom_site_fract_y
_atom_site_fract_z
_atom_site_occupancy
As1 As 0.0000 0.0000 0.0000 1
W1 W 0.3025 0.5000 0.1648 1
W2 W 0.6975 0.5000 0.8352 1
Se1 Se 0.5000 0.0000 0.5000 1

# As3WSe | the Alexandria database | PBE | optimized geometry
# - space group = No. 221
# - ΔE to the lowest computed polymorph (eV/f.u.) = 0.00
# - ΔE_f (raw) (eV/atom) = 0.521
# - electronic total energy (eV per atom) = -5.56
data_As3WSe
_cell_length_a 4.8773
_cell_length_b 4.8773
_cell_length_c 4.8773
_cell_angle_alpha 90.00
_cell_angle_beta 90.00
_cell_angle_gamma 90.00
_space_group_name_H-M_alt 'P 1'
_space_group_IT_number 1
loop_
_space_group_symop_operation_xyz
'x,y,z'
loop_
_atom_site_label
_atom_site_type_symbol
_atom_site_fract_x
_atom_site_fract_y
_atom_site_fract_z
_atom_site_occupancy
As1 As 0.0000 0.0000 0.5000 1
As2 As 0.0000 0.5000 0.0000 1
As3 As 0.5000 0.0000 0.0000 1
W1 W 0.0000 0.0000 0.0000 1
Se1 Se 0.5000 0.5000 0.5000 1

# AsW2Se | the Alexandria database | PBE | optimized geometry
# - space group = No. 216
# - ΔE to the lowest computed polymorph (eV/f.u.) = 2.94
# - ΔE_f (raw) (eV/atom) = 0.808
# - electronic total energy (eV per atom) = -7.70
data_AsW2Se
_cell_length_a 4.5740
_cell_length_b 4.5740
_cell_length_c 4.5740
_cell_angle_alpha 60.00
_cell_angle_beta 60.00
_cell_angle_gamma 60.00
_space_group_name_H-M_alt 'P 1'
_space_group_IT_number 1
loop_
_space_group_symop_operation_xyz
'x,y,z'
loop_
_atom_site_label
_atom_site_type_symbol
_atom_site_fract_x
_atom_site_fract_y
_atom_site_fract_z
_atom_site_occupancy
As1 As 0.0000 0.0000 0.0000 1
W1 W 0.5000 0.5000 0.5000 1
W2 W 0.7500 0.7500 0.7500 1
Se1 Se 0.2500 0.2500 0.2500 1

# AsW2Se | the Alexandria database | PBE | optimized geometry
# - space group = No. 123
# - ΔE to the lowest computed polymorph (eV/f.u.) = 1.24
# - ΔE_f (raw) (eV/atom) = 0.381
# - electronic total energy (eV per atom) = -8.13
data_AsW2Se
_cell_length_a 3.1589
_cell_length_b 3.1589
_cell_length_c 6.2908
_cell_angle_alpha 90.00
_cell_angle_beta 90.00
_cell_angle_gamma 90.00
_space_group_name_H-M_alt 'P 1'
_space_group_IT_number 1
loop_
_space_group_symop_operation_xyz
'x,y,z'
loop_
_atom_site_label
_atom_site_type_symbol
_atom_site_fract_x
_atom_site_fract_y
_atom_site_fract_z
_atom_site_occupancy
As1 As 0.0000 0.0000 0.0000 1
W1 W 0.5000 0.5000 0.2328 1
W2 W 0.5000 0.5000 0.7672 1
Se1 Se 0.0000 0.0000 0.5000 1

# AsW2Se | the Alexandria database | PBE | optimized geometry
# - space group = No. 8
# - ΔE to the lowest computed polymorph (eV/f.u.) = 0.78
# - ΔE_f (raw) (eV/atom) = 0.268
# - electronic total energy (eV per atom) = -8.24
data_AsW2Se
_cell_length_a 4.6870
_cell_length_b 4.6870
_cell_length_c 4.7615
_cell_angle_alpha 105.19
_cell_angle_beta 105.19
_cell_angle_gamma 40.41
_space_group_name_H-M_alt 'P 1'
_space_group_IT_number 1
loop_
_space_group_symop_operation_xyz
'x,y,z'
loop_
_atom_site_label
_atom_site_type_symbol
_atom_site_fract_x
_atom_site_fract_y
_atom_site_fract_z
_atom_site_occupancy
As1 As 0.0000 0.0000 0.0000 1
W1 W 0.2667 0.2667 0.9002 1
W2 W 0.5084 0.5084 0.5399 1
Se1 Se 0.7667 0.7667 0.3598 1

# As3WSe | the Alexandria database | PBE | optimized geometry
# - space group = No. 221
# - ΔE to the lowest computed polymorph (eV/f.u.) = 5.22
# - ΔE_f (raw) (eV/atom) = 1.566
# - electronic total energy (eV per atom) = -4.51
data_As3WSe
_cell_length_a 4.8643
_cell_length_b 4.8643
_cell_length_c 4.8643
_cell_angle_alpha 90.00
_cell_angle_beta 90.00
_cell_angle_gamma 90.00
_space_group_name_H-M_alt 'P 1'
_space_group_IT_number 1
loop_
_space_group_symop_operation_xyz
'x,y,z'
loop_
_atom_site_label
_atom_site_type_symbol
_atom_site_fract_x
_atom_site_fract_y
_atom_site_fract_z
_atom_site_occupancy
As1 As 0.0000 0.0000 0.5000 1
As2 As 0.0000 0.5000 0.0000 1
As3 As 0.5000 0.0000 0.0000 1
W1 W 0.5000 0.5000 0.5000 1
Se1 Se 0.0000 0.0000 0.0000 1

# AsW2Se | the Alexandria database | PBE | optimized geometry
# - space group = No. 119
# - ΔE to the lowest computed polymorph (eV/f.u.) = 2.22
# - ΔE_f (raw) (eV/atom) = 0.628
# - electronic total energy (eV per atom) = -7.88
data_AsW2Se
_cell_length_a 4.8362
_cell_length_b 4.8362
_cell_length_c 4.8362
_cell_angle_alpha 129.43
_cell_angle_beta 129.43
_cell_angle_gamma 74.32
_space_group_name_H-M_alt 'P 1'
_space_group_IT_number 1
loop_
_space_group_symop_operation_xyz
'x,y,z'
loop_
_atom_site_label
_atom_site_type_symbol
_atom_site_fract_x
_atom_site_fract_y
_atom_site_fract_z
_atom_site_occupancy
As1 As 0.0000 0.0000 0.0000 1
W1 W 0.5000 0.5000 0.0000 1
W2 W 0.7500 0.2500 0.5000 1
Se1 Se 0.2500 0.7500 0.5000 1

# AsW2Se | the Alexandria database | PBE | optimized geometry
# - space group = No. 44
# - ΔE to the lowest computed polymorph (eV/f.u.) = 1.54
# - ΔE_f (raw) (eV/atom) = 0.456
# - electronic total energy (eV per atom) = -8.05
data_AsW2Se
_cell_length_a 5.5846
_cell_length_b 5.5846
_cell_length_c 5.5846
_cell_angle_alpha 147.82
_cell_angle_beta 134.30
_cell_angle_gamma 56.98
_space_group_name_H-M_alt 'P 1'
_space_group_IT_number 1
loop_
_space_group_symop_operation_xyz
'x,y,z'
loop_
_atom_site_label
_atom_site_type_symbol
_atom_site_fract_x
_atom_site_fract_y
_atom_site_fract_z
_atom_site_occupancy
As1 As 0.0000 0.0000 0.0000 1
W1 W 0.5077 0.5077 0.0000 1
W2 W 0.7771 0.2771 0.5000 1
Se1 Se 0.2864 0.7864 0.5000 1